# 1
## Nd2Sn (PBE)

Data for a relaxed structure of Nd2Sn.

The structure in POSCAR format:
```
Nd2Sn
1.0
1.058 4.361 4.551
-4.930 2.837 2.916
-1.319 -1.365 6.103
Nd Sn
4 2
Direct
0.625 0.625 0.625
0.625 0.625 0.125
0.125 0.625 0.625
0.625 0.125 0.625
0.250 0.250 0.250
0.000 0.000 0.000
```

# 2
## NdSn2 (PBE)

Data for a relaxed structure of NdSn2.

The structure in POSCAR format:
```
NdSn2
1.0
0.000 4.388 4.388
4.388 0.000 4.388
4.388 4.388 0.000
Sn Nd
4 2
Direct
0.625 0.625 0.125
0.625 0.125 0.625
0.125 0.625 0.625
0.625 0.625 0.625
0.250 0.250 0.250
0.000 0.000 0.000
```

# 3
## Nd2Sn3 (PBE)

Data for a relaxed structure of Nd2Sn3.

The structure in POSCAR format:
```
Nd2Sn3
1.0
6.440 0.000 0.000
-1.486 8.351 0.000
-1.323 -3.624 10.522
Nd Sn
8 12
Direct
0.959 0.252 0.057
0.332 0.032 0.744
0.041 0.748 0.943
0.668 0.968 0.256
0.875 0.245 0.615
0.557 0.430 0.336
0.443 0.570 0.664
0.125 0.755 0.385
0.047 0.354 0.380
0.677 0.398 0.860
0.953 0.646 0.620
0.176 0.036 0.223
0.438 0.171 0.051
0.642 0.835 0.501
0.222 0.405 0.864
0.824 0.964 0.777
0.562 0.829 0.949
0.323 0.602 0.140
0.358 0.165 0.499
0.778 0.595 0.136
```

M_tot for every record listed, in sequence, given in μB per formula unit: 0.0 0.1 0.0.
Volume for every record listed, in sequence, given in Å³/cell: 184.6 168.9 565.9.
Uncorrected energy for every record listed, in sequence, given in eV/atom: -4.526 -4.610 -5.011.